# Tb6PrHo2Er3

A geometry-optimized Tb6PrHo2Er3 structure (PBE-GGA, the Alexandria database).

## Properties
E_form in eV per formula unit: 0.210
E in eV for the cell shown: -55.195

Structure (POSCAR):
```
Tb6PrHo2Er3
1.0
-2.594 -5.355 1.558
1.750 0.989 -5.813
10.749 -2.924 3.819
Tb Ho Er Pr
6 2 3 1
Cartesian
1.776 -2.898 1.124
6.678 -6.513 0.903
2.080 -4.014 -2.229
3.228 -0.778 -1.339
7.826 -3.276 1.793
8.130 -4.392 -1.561
-1.146 -3.240 -0.899
0.302 -1.126 -3.356
3.506 -5.757 2.236
4.953 -3.645 -0.218
6.399 -1.533 -2.672
0.000 0.000 0.000
```